1.
TbYPu GGA-PBE relaxed; crystal system = trigonal; V = 30.8 Å³ per atom; E_form = 129.5 meV per atom; DOS(E_F) = 8.9 states/eV/cell; relative energy among the computed polymorphs = 0.013 eV/atom; symmetry = No. 156
1.0
3.5326 0.0000 0.0000
-1.7663 3.0593 0.0000
0.0000 0.0000 8.5584
Tb Y Pu
1 1 1
Cartesian
0.0000 0.0000 0.0000
1.7663 1.0198 2.8992
0.0000 2.0396 5.7365

2.
YGe2SBr GGA-PBE relaxed; crystal system = tetragonal; V = 24.5 Å³ per atom; DOS(E_F) = 3.5 states/eV/cell; formation energy from raw total energies = 0.182 eV per atom; symmetry = No. 123
1.0
4.9224 0.0000 0.0000
0.0000 4.9224 0.0000
0.0000 0.0000 5.0565
Y Ge S Br
1 2 1 1
Cartesian
0.0000 0.0000 0.0000
0.0000 2.4612 2.5282
2.4612 0.0000 2.5282
2.4612 2.4612 2.5282
2.4612 2.4612 0.0000

3.
Mg2TlAgBr6 GGA-PBE relaxed; crystal system = monoclinic; V = 37.4 Å³ per atom; DOS(E_F) = 0.0 states/eV/cell; formation energy from raw total energies = -1.080 eV per atom; symmetry = No. 15
1.0
7.1981 -7.0819 0.0000
7.1981 7.0819 0.0000
-2.6708 0.0000 7.3305
Mg Tl Ag Br
4 2 2 12
Cartesian
2.1909 1.0577 1.4741
0.8555 -1.0577 5.1393
10.8699 1.0577 2.1911
9.5345 -1.0577 5.8564
5.1950 1.6254 5.4978
6.5304 -1.6254 1.8326
6.5304 3.2757 1.8326
5.1950 -3.2757 5.4978
0.5885 0.8282 3.4646
2.9061 3.7456 6.7677
-0.7469 -0.8282 7.1298
4.5660 1.0754 2.2946
7.4839 3.7456 4.2280
3.2306 -1.0754 5.9598
8.4948 1.0754 1.3707
4.2415 -3.7456 3.1024
7.1594 -1.0754 5.0359
12.4723 0.8282 0.2006
8.8193 -3.7456 0.5628
11.1369 -0.8282 3.8658

4.
TeMo2W GGA-PBE relaxed; crystal system = orthorhombic; V = 18.2 Å³ per atom; DOS(E_F) = 3.8 states/eV/cell; formation energy from raw total energies = 0.552 eV per atom; symmetry = No. 65
1.0
1.6384 -2.3927 0.0000
1.6384 2.3927 0.0000
0.0000 0.0000 9.2603
Te Mo W
1 2 1
Cartesian
0.0000 0.0000 0.0000
1.6384 0.0000 2.5384
1.6384 0.0000 6.7218
0.0000 0.0000 4.6301

5.
Pm2Dy2Y6Ho GGA-PBE relaxed; crystal system = orthorhombic; V = 33.0 Å³ per atom; E_form = 144.3 meV per atom; DOS(E_F) = 18.5 states/eV/cell; symmetry = No. 65
1.0
2.8386 -6.0274 0.0000
2.8386 6.0274 0.0000
0.0000 0.0000 10.6071
Pm Dy Y Ho
2 2 6 1
Cartesian
2.8386 4.4155 0.0000
2.8386 -4.4155 0.0000
2.8386 3.5412 5.3035
2.8386 -3.5412 5.3035
0.0000 0.0000 3.1422
0.0000 0.0000 7.4649
2.8386 1.8418 2.2140
2.8386 1.8418 8.3930
2.8386 -1.8418 2.2140
2.8386 -1.8418 8.3930
2.8386 0.0000 5.3035

6.
LaPm2Ir GGA-PBE relaxed; crystal system = tetragonal; V = 29.7 Å³ per atom; E_form = -299.0 meV per atom; DOS(E_F) = 4.9 states/eV/cell; relative energy among the computed polymorphs = 0.184 eV/atom; symmetry = No. 123
1.0
3.5976 0.0000 0.0000
0.0000 3.5976 0.0000
0.0000 0.0000 9.1668
La Pm Ir
1 2 1
Cartesian
0.0000 0.0000 0.0000
1.7988 1.7988 2.9372
1.7988 1.7988 6.2297
0.0000 0.0000 4.5834

7.
AcZnP GGA-PBE relaxed; crystal system = trigonal; V = 23.3 Å³ per atom; E_form = -769.3 meV per atom; DOS(E_F) = 0.6 states/eV/cell; relative energy among the computed polymorphs = 0.066 eV/atom; symmetry = No. 156
1.0
4.2051 0.0000 0.0000
-2.1025 3.6417 0.0000
0.0000 0.0000 4.5588
Ac Zn P
1 1 1
Cartesian
0.0000 0.0000 0.0000
2.1025 1.2139 2.1798
0.0000 2.4278 2.3318

8.
PH2Pd2 GGA-PBE relaxed; crystal system = tetragonal; final energy = -22.436 eV/cell; V = 10.3 Å³ per atom; DOS(E_F) = 0.9 states/eV/cell; symmetry = No. 139
1.0
-1.5192 1.5192 5.5715
1.5192 -1.5192 5.5715
1.5192 1.5192 -5.5715
P H Pd
1 2 2
Cartesian
0.0000 0.0000 0.0000
1.5192 0.0000 2.7857
0.0000 1.5192 2.7857
0.0000 0.0000 3.9395
0.0000 0.0000 7.2034

9.
NaPm2Lu GGA-PBE relaxed; crystal system = tetragonal; V = 32.3 Å³ per atom; E_form = 205.5 meV per atom; DOS(E_F) = 5.0 states/eV/cell; relative energy among the computed polymorphs = 0.096 eV/atom; symmetry = No. 123
1.0
5.8717 0.0000 0.0000
0.0000 5.8717 0.0000
0.0000 0.0000 3.7517
Na Pm Lu
1 2 1
Cartesian
0.0000 0.0000 0.0000
0.0000 2.9358 1.8759
2.9358 0.0000 1.8759
2.9358 2.9358 0.0000

10.
RbTcPd2O GGA-PBE relaxed; crystal system = tetragonal; V = 18.7 Å³ per atom; DOS(E_F) = 4.4 states/eV/cell; formation energy from raw total energies = 0.764 eV per atom; symmetry = No. 123
1.0
4.3069 0.0000 0.0000
0.0000 4.3069 0.0000
0.0000 0.0000 5.0461
Rb Tc Pd O
1 1 2 1
Cartesian
0.0000 0.0000 0.0000
2.1534 2.1534 0.0000
0.0000 2.1534 2.5231
2.1534 0.0000 2.5231
0.0000 0.0000 2.5231

11.
NbInPd2 GGA-PBE relaxed; crystal system = tetragonal; V = 19.2 Å³ per atom; E_form = 129.9 meV per atom; DOS(E_F) = 10.1 states/eV/cell; symmetry = No. 122
1.0
-3.6618 3.6618 2.8627
3.6618 -3.6618 2.8627
3.6618 3.6618 -2.8627
Nb In Pd
2 2 4
Cartesian
0.0000 0.0000 0.0000
0.0000 3.6618 1.4314
3.6618 0.0000 1.4314
0.0000 0.0000 2.8627
5.4927 1.7211 -0.7157
1.7211 1.8309 0.7157
-1.8309 1.9407 2.1471
1.9407 1.8309 3.5784

12.
Ba6In5Hg GGA-PBE relaxed; crystal system = orthorhombic; V = 38.9 Å³ per atom; E_form = -416.3 meV per atom; DOS(E_F) = 8.5 states/eV/cell; symmetry = No. 65
1.0
2.9996 -9.0233 0.0000
2.9996 9.0233 0.0000
0.0000 0.0000 8.6256
Ba In Hg
6 5 1
Cartesian
0.0000 0.0000 2.1289
0.0000 0.0000 6.4967
2.9996 2.9715 2.1619
2.9996 2.9715 6.4636
2.9996 -2.9715 2.1619
2.9996 -2.9715 6.4636
2.9996 6.0130 4.3128
2.9996 5.8977 0.0000
2.9996 0.0000 4.3128
2.9996 -5.8977 0.0000
2.9996 -6.0130 4.3128
2.9996 0.0000 0.0000

13.
AcTb2Hg2 GGA-PBE relaxed; crystal system = trigonal; V = 32.6 Å³ per atom; E_form = -205.1 meV per atom; DOS(E_F) = 7.4 states/eV/cell; relative energy among the computed polymorphs = 0.048 eV/atom; symmetry = No. 164
1.0
5.4124 0.0000 0.0000
-2.7062 4.6873 0.0000
0.0000 0.0000 6.4347
Ac Tb Hg
1 2 2
Cartesian
0.0000 0.0000 0.0000
0.0000 3.1248 4.2373
2.7062 1.5624 2.1975
0.0000 3.1248 1.2139
2.7062 1.5624 5.2208

14.
Cs2AlSeBr6 GGA-PBE relaxed; crystal system = tetragonal; V = 37.0 Å³ per atom; DOS(E_F) = 3.1 states/eV/cell; formation energy from raw total energies = -1.044 eV per atom; symmetry = No. 139
1.0
-4.1452 4.1452 5.3854
4.1452 -4.1452 5.3854
4.1452 4.1452 -5.3854
Cs Al Se Br
2 1 1 6
Cartesian
4.1452 0.0000 2.6927
0.0000 4.1452 2.6927
0.0000 0.0000 0.0000
0.0000 0.0000 5.3854
1.7409 1.7409 0.0000
2.4043 -2.4043 5.3854
0.0000 0.0000 2.8173
0.0000 0.0000 7.9534
-2.4043 2.4043 5.3854
2.4043 2.4043 5.3854

15.
PrHo4Er GGA-PBE relaxed; crystal system = cubic; V = 33.5 Å³ per atom; E_form = 274.1 meV per atom; DOS(E_F) = 11.3 states/eV/cell; relative energy among the computed polymorphs = 0.254 eV/atom; symmetry = No. 216
1.0
0.0000 4.6476 4.6476
4.6476 0.0000 4.6476
4.6476 4.6476 0.0000
Pr Ho Er
1 4 1
Cartesian
0.0000 0.0000 0.0000
5.8065 3.4888 3.4888
3.4888 5.8065 3.4888
3.4888 3.4888 5.8065
5.8065 5.8065 5.8065
2.3238 2.3238 2.3238

16.
Li2Nd3Mg3 GGA-PBE relaxed; crystal system = trigonal; V = 27.1 Å³ per atom; E_form = 7.7 meV per atom; DOS(E_F) = 7.9 states/eV/cell; symmetry = No. 160
1.0
2.6780 1.5462 8.7361
-2.6780 1.5462 8.7361
0.0000 -3.0923 8.7361
Li Nd Mg
2 3 3
Cartesian
0.0000 0.0000 0.0000
0.0000 0.0000 12.8946
0.0000 0.0000 3.2209
0.0000 0.0000 16.3065
0.0000 0.0000 22.8727
0.0000 0.0000 6.6145
0.0000 0.0000 9.7620
0.0000 0.0000 19.5305

17.
Mn2Te6Rh GGA-PBE relaxed; crystal system = trigonal; V = 25.9 Å³ per atom; DOS(E_F) = 3.5 states/eV/cell; formation energy from raw total energies = -0.269 eV per atom; symmetry = No. 162
1.0
6.7820 0.0000 0.0000
-3.3910 5.8734 0.0000
0.0000 0.0000 5.8498
Mn Te Rh
2 6 1
Cartesian
0.0000 3.9156 0.0000
3.3910 1.9578 0.0000
-1.1259 1.9501 1.4551
-2.2651 3.9233 4.3947
2.2518 0.0000 1.4551
1.1259 1.9501 4.3947
4.5302 0.0000 4.3947
2.2651 3.9233 1.4551
0.0000 0.0000 0.0000

18.
LiPbW GGA-PBE relaxed; crystal system = cubic; V = 22.9 Å³ per atom; E_form = 1163.0 meV per atom; DOS(E_F) = 1.1 states/eV/cell; relative energy among the computed polymorphs = 0.506 eV/atom; symmetry = No. 216
1.0
0.0000 3.2523 3.2523
3.2523 0.0000 3.2523
3.2523 3.2523 0.0000
Li Pb W
1 1 1
Cartesian
0.0000 0.0000 0.0000
4.8784 4.8784 4.8784
3.2523 3.2523 3.2523

19.
PuZrV4 GGA-PBE relaxed; crystal system = cubic; V = 16.6 Å³ per atom; E_form = 189.9 meV per atom; DOS(E_F) = 10.2 states/eV/cell; symmetry = No. 216
1.0
0.0000 3.6817 3.6817
3.6817 0.0000 3.6817
3.6817 3.6817 0.0000
Pu Zr V
1 1 4
Cartesian
0.0000 0.0000 0.0000
5.5225 5.5225 5.5225
2.7601 2.7601 2.7601
4.6033 4.6033 2.7601
4.6033 2.7601 4.6033
2.7601 4.6033 4.6033

20.
Rb3TeS GGA-PBE relaxed; crystal system = cubic; V = 50.0 Å³ per atom; DOS(E_F) = 12.7 states/eV/cell; relative energy among the computed polymorphs = 0.000 eV/atom; formation energy from raw total energies = -0.723 eV per atom; symmetry = No. 221
1.0
6.2977 0.0000 0.0000
0.0000 6.2977 0.0000
0.0000 0.0000 6.2977
Rb Te S
3 1 1
Cartesian
0.0000 0.0000 3.1489
0.0000 3.1489 0.0000
3.1489 0.0000 0.0000
3.1489 3.1489 3.1489
0.0000 0.0000 0.0000

21.
DyEr2Cr2C4 GGA-PBE relaxed; crystal system = monoclinic; V = 13.6 Å³ per atom; E_form = -122.1 meV per atom; DOS(E_F) = 6.7 states/eV/cell; symmetry = No. 12
1.0
6.5020 -1.6943 0.0000
6.5020 1.6943 0.0000
-2.1204 0.0000 5.5540
Dy Er Cr C
1 2 2 4
Cartesian
0.0000 0.0000 0.0000
0.6059 0.0000 3.0184
10.2777 0.0000 2.5356
4.1412 0.0000 0.0863
6.7424 0.0000 5.4677
2.4086 0.0000 1.0753
5.4361 0.0000 1.4180
5.4476 0.0000 4.1359
8.4750 0.0000 4.4787

22.
CsPt3Au GGA-PBE relaxed; crystal system = cubic; V = 27.0 Å³ per atom; E_form = 865.9 meV per atom; DOS(E_F) = 6.7 states/eV/cell; relative energy among the computed polymorphs = 0.000 eV/atom; symmetry = No. 221
1.0
5.1301 0.0000 0.0000
0.0000 5.1301 0.0000
0.0000 0.0000 5.1301
Cs Pt Au
1 3 1
Cartesian
0.0000 0.0000 0.0000
0.0000 2.5651 2.5651
2.5651 0.0000 2.5651
2.5651 2.5651 0.0000
2.5651 2.5651 2.5651

23.
HfZn6 GGA-PBE relaxed; crystal system = cubic; V = 20.9 Å³ per atom; E_form = 712.5 meV per atom; DOS(E_F) = 4.1 states/eV/cell; relative energy among the computed polymorphs = 0.753 eV/atom; symmetry = No. 229
1.0
-3.3183 3.3183 3.3183
3.3183 -3.3183 3.3183
3.3183 3.3183 -3.3183
Hf Zn
1 6
Cartesian
0.0000 0.0000 0.0000
3.3183 1.6592 0.0000
3.3183 0.0000 1.6592
1.6592 3.3183 0.0000
1.6592 0.0000 3.3183
0.0000 3.3183 1.6592
0.0000 1.6592 3.3183

24.
BiOsSe GGA-PBE relaxed; crystal system = monoclinic; V = 21.8 Å³ per atom; formation energy from raw total energies = 0.018 eV per atom; symmetry = No. 14
1.0
6.6204 0.0000 0.0000
0.0000 6.4906 0.0000
-2.6301 0.0000 6.0926
Bi Os Se
4 4 4
Cartesian
-0.0400 0.9012 2.3002
-1.3551 2.3442 5.3465
5.3454 4.1465 0.7461
4.0304 5.5895 3.7924
1.1702 3.3346 1.8479
-0.1448 6.4014 4.8942
4.1351 0.0893 1.1984
2.8201 3.1560 4.2446
0.5520 4.1255 4.1310
1.8670 5.6105 1.0847
2.1233 0.8801 5.0078
3.4383 2.3652 1.9616

25.
La2Tb5Er3 GGA-PBE relaxed; crystal system = monoclinic; V = 34.3 Å³ per atom; E_form = 213.8 meV per atom; DOS(E_F) = 34.5 states/eV/cell; symmetry = No. 15
1.0
5.4719 -7.1546 0.0000
5.4719 7.1546 0.0000
-4.5466 0.0000 8.7614
La Tb Er
4 10 6
Cartesian
1.6907 1.7836 0.4080
-0.5826 -1.7836 4.7887
6.9798 1.7836 3.9727
4.7066 -1.7836 8.3534
2.0620 6.7077 6.5710
-0.8520 1.8005 5.8750
2.0620 3.5727 6.5710
1.4213 -1.8005 1.4943
2.0620 0.0444 6.5710
4.3352 -0.0444 2.1903
4.9760 1.8005 7.2671
4.3352 -3.5727 2.1903
7.2492 -1.8005 2.8864
4.3352 -6.7077 2.1903
1.6978 1.7946 3.6941
4.3352 3.2671 2.1903
-0.5755 -1.7946 8.0748
6.9727 1.7946 0.6866
2.0620 -3.2671 6.5710
4.6994 -1.7946 5.0673